Entry 1:
Compound: K2CoHg
Source: Alexandria via LeMat-Bulk
Functional: PBE
Structure: optimized geometry

a b c (Å): 6.166 6.166 5.952
angles (deg): 61.79 61.79 45.52
Last column: magnetic moment on the atom in μB.
Atoms (fractional coordinates):
1 Co 0.412 0.412 0.597  1.70
2 Hg 0.829 0.829 0.664  -0.04
3 K 0.034 0.034 0.964  -0.01
4 K 0.225 0.225 0.275  -0.01

* M_tot: 1.44 μB per formula unit
* total energy: -1.950 eV per atom

---

Entry 2:
Compound: CsCdHg2Bi
Source: Alexandria via LeMat-Bulk
Functional: PBE
Structure: optimized geometry

a b c (Å): 6.040 6.040 6.051
angles (deg): 90.00 90.00 90.00
Atoms (fractional coordinates):
1 Bi 0.000 0.000 0.000
2 Cs 0.500 0.500 0.500
3 Cd 0.000 0.000 0.500
4 Hg 0.000 0.500 0.000
5 Hg 0.500 0.000 0.000

* M_tot: 0.00 μB per formula unit
* E above lowest polymorph: 0.141 eV/atom

---

Entry 3:
Compound: ScIn4Cl6
Source: Alexandria via LeMat-Bulk
Functional: PBE
Structure: optimized geometry

a b c (Å): 8.291 8.291 10.279
angles (deg): 90.00 90.00 90.00
Last column: magnetic moment on the atom in μB.
Atoms (fractional coordinates):
1 Sc 0.500 0.500 0.000  0.09
2 In 0.849 0.349 0.750  0.01
3 Cl 0.500 0.500 0.752  0.00
4 Cl 0.500 0.500 0.248  0.00
5 Cl 0.655 0.238 0.000  0.00
6 Cl 0.000 0.000 0.252  0.00
7 In 0.349 0.151 0.250  0.01
8 In 0.651 0.849 0.250  0.01
9 Cl 0.345 0.762 0.000  0.00
10 Cl 0.155 0.262 0.500  0.00
11 Cl 0.738 0.155 0.500  0.00
12 Cl 0.262 0.845 0.500  0.00
13 In 0.651 0.849 0.750  0.01
14 Cl 0.845 0.738 0.500  0.00
15 In 0.151 0.651 0.250  0.01
16 In 0.849 0.349 0.250  0.01
17 Cl 0.762 0.655 0.000  0.00
18 Cl 0.238 0.345 0.000  0.00
19 In 0.151 0.651 0.750  0.01
20 In 0.349 0.151 0.750  0.01
21 Cl 0.000 0.000 0.748  0.00
22 Sc 0.000 0.000 0.500  0.09

* ΔE_f (raw): -1.116 eV/atom
* M_tot: 0.20 μB per formula unit

---

It is found that the N(E_F) values, taken in the order of the records, are 3.67, 1.73, 4.53 states/eV/f.u..